(1)
Density functional theory data (GGA-PBE) for TcAgP after structural relaxation.

Unit cell a=5.512 b=5.512 c=5.512 alpha=147.89 beta=147.89 gamma=46.05
Atoms (fractional coordinates):
Tc 0.000 0.000 0.000
Ag 0.294 0.294 0.000
P 0.599 0.599 0.000

## Properties
total moment	0.41	μB per cell
offset from the most stable computed form	0.00	eV per formula unit
energy of formation	0.14	eV per formula unit

=====

(2)
Density functional theory data (GGA-PBE) for NaLiCo2Au after structural relaxation.

Unit cell a=4.137 b=4.137 c=4.331 alpha=90.00 beta=90.00 gamma=90.00
Atoms (fractional coordinates):
Na 0.000 0.000 0.000
Li 0.000 0.000 0.500
Co 0.000 0.500 0.500
Co 0.500 0.000 0.500
Au 0.500 0.500 0.000

## Properties
total moment	2.73	μB per cell
energy of formation	4.48	eV per formula unit

=====

(3)
Density functional theory data (GGA-PBE) for UAuSe after structural relaxation.

Unit cell a=3.739 b=3.739 c=9.482 alpha=90.00 beta=90.00 gamma=90.00
Atoms (fractional coordinates):
U 0.250 0.250 0.238
U 0.750 0.750 0.762
Au 0.250 0.250 0.567
Au 0.750 0.750 0.433
Se 0.250 0.250 0.892
Se 0.750 0.750 0.108

## Properties
formation energy from raw total energies	-0.642	eV per atom
total moment	5.65	μB per cell

=====

(4)
Density functional theory data (GGA-PBE) for AcHfI2 after structural relaxation.

Unit cell a=11.117 b=11.117 c=11.117 alpha=19.79 beta=19.79 gamma=19.79
Atoms (fractional coordinates):
Ac 0.000 0.000 0.000
Hf 0.500 0.500 0.500
I 0.412 0.412 0.412
I 0.588 0.588 0.588

## Properties
formation energy from raw total energies	-0.205	eV per atom
total moment	0.86	μB per cell

=====

(5)
Density functional theory data (GGA-PBE) for V2GaWCl after structural relaxation.

Unit cell a=4.137 b=4.137 c=4.794 alpha=90.00 beta=90.00 gamma=90.00
Atoms (fractional coordinates):
V 0.000 0.500 0.000
V 0.500 0.000 0.000
Ga 0.000 0.000 0.500
W 0.500 0.500 0.500
Cl 0.000 0.000 0.000

## Properties
formation energy from raw total energies	1.016	eV per atom
total moment	0.00	μB per cell

=====

(6)
Density functional theory data (GGA-PBE) for LaNd5Ni2 after structural relaxation.

Unit cell a=6.986 b=6.986 c=18.878 alpha=90.00 beta=90.00 gamma=148.61
Atoms (fractional coordinates):
La 0.194 0.806 0.750
La 0.806 0.194 0.250
Nd 0.077 0.923 0.250
Nd 0.171 0.829 0.560
Nd 0.171 0.829 0.940
Nd 0.438 0.562 0.591
Nd 0.438 0.562 0.909
Nd 0.562 0.438 0.091
Nd 0.562 0.438 0.409
Nd 0.829 0.171 0.060
Nd 0.829 0.171 0.440
Nd 0.923 0.077 0.750
Ni 0.212 0.788 0.136
Ni 0.212 0.788 0.364
Ni 0.788 0.212 0.636
Ni 0.788 0.212 0.864

## Properties
total moment	0.00	μB per cell
energy of formation	-0.72	eV per formula unit

=====

(7)
Density functional theory data (GGA-PBE) for Tb3Cu3Ni after structural relaxation.

Unit cell a=5.386 b=5.386 c=14.932 alpha=105.57 beta=105.57 gamma=42.38
Atoms (fractional coordinates):
Tb 0.038 0.038 0.391
Tb 0.107 0.107 0.922
Tb 0.247 0.247 0.239
Tb 0.753 0.753 0.761
Tb 0.893 0.893 0.078
Tb 0.962 0.962 0.609
Cu 0.359 0.359 0.461
Cu 0.396 0.396 0.923
Cu 0.466 0.466 0.767
Cu 0.534 0.534 0.233
Cu 0.604 0.604 0.077
Cu 0.641 0.641 0.539
Ni 0.263 0.263 0.621
Ni 0.737 0.737 0.379

## Properties
total moment	0.00	μB per cell
energy of formation	-2.05	eV per formula unit

=====

(8)
Density functional theory data (GGA-PBE) for Ca2TeRu after structural relaxation.

Unit cell a=4.258 b=4.258 c=6.354 alpha=90.00 beta=90.00 gamma=90.00
Atoms (fractional coordinates):
Ca 0.000 0.000 0.000
Ca 0.500 0.500 0.382
Te 0.500 0.500 0.871
Ru 0.000 0.000 0.487

## Properties
formation energy from raw total energies	-0.070	eV per atom
total moment	2.01	μB per cell